Entry 1:
The following is a DFT calculation (GGA-PBE) of a geometry-optimized Pm2Ga4FePt3 structure.

The structure in extended XYZ format:
```
10
Lattice="-3.057 -0.284 2.834 1.507 -3.688 1.256 6.280 5.046 7.280" Properties=species:S:1:pos:R:3 pbc="T T T"
Pt 3.140 2.523 3.640
Pt 1.615 -1.152 1.627
Pt 3.890 4.212 7.698
Pm 0.065 1.139 3.264
Pm 5.440 1.921 6.061
Ga 2.432 3.040 6.007
Ga 0.000 0.000 0.000
Ga -0.775 -1.986 2.045
Ga 3.074 0.020 3.318
Fe 2.365 0.537 5.685
```

ρ, Mg/m³: 10.60
Total DFT energy (no corrections), eV per formula unit: -56.2
Crystal system: tetragonal
DFT formation energy, eV/atom: -0.80

=====

Entry 2:
The following is a DFT calculation (GGA-PBE) of a geometry-optimized Pm2ZnGa6Fe structure.

The structure in extended XYZ format:
```
20
Lattice="6.278 0.000 0.000 3.139 5.437 0.000 3.139 1.812 11.417" Properties=species:S:1:pos:R:3 pbc="T T T"
Pm 9.417 5.437 9.625
Pm 9.417 5.437 3.643
Pm 3.139 1.812 1.791
Pm 3.139 1.812 7.774
Ga 4.417 4.699 6.761
Ga 7.615 4.397 1.112
Ga 6.278 2.080 1.112
Ga 6.278 5.773 4.655
Ga 6.278 5.169 10.305
Ga 7.615 2.852 10.305
Ga 4.940 2.852 10.305
Ga 4.417 2.550 4.655
Ga 4.940 4.397 1.112
Ga 8.138 2.550 4.655
Ga 8.138 4.699 6.761
Ga 6.278 1.476 6.761
Zn 6.278 3.624 3.200
Zn 6.278 3.624 8.217
Fe 0.000 0.000 0.000
Fe 6.278 3.624 5.708
```

ρ, Mg/m³: 7.07
Total DFT energy (no corrections), eV per formula unit: -41.1
Crystal system: trigonal
DFT formation energy, eV/atom: -0.37

=====

Repeat the second record exactly.
The following is a DFT calculation (GGA-PBE) of a geometry-optimized Pm2ZnGa6Fe structure.

The structure in extended XYZ format:
```
20
Lattice="6.278 0.000 0.000 3.139 5.437 0.000 3.139 1.812 11.417" Properties=species:S:1:pos:R:3 pbc="T T T"
Pm 9.417 5.437 9.625
Pm 9.417 5.437 3.643
Pm 3.139 1.812 1.791
Pm 3.139 1.812 7.774
Ga 4.417 4.699 6.761
Ga 7.615 4.397 1.112
Ga 6.278 2.080 1.112
Ga 6.278 5.773 4.655
Ga 6.278 5.169 10.305
Ga 7.615 2.852 10.305
Ga 4.940 2.852 10.305
Ga 4.417 2.550 4.655
Ga 4.940 4.397 1.112
Ga 8.138 2.550 4.655
Ga 8.138 4.699 6.761
Ga 6.278 1.476 6.761
Zn 6.278 3.624 3.200
Zn 6.278 3.624 8.217
Fe 0.000 0.000 0.000
Fe 6.278 3.624 5.708
```

ρ, Mg/m³: 7.07
Total DFT energy (no corrections), eV per formula unit: -41.1
Crystal system: trigonal
DFT formation energy, eV/atom: -0.37